Arrangement i

Compound: K2YCo
Source: the Alexandria database
Functional: PBEsol
Structure: relaxed

Cell: 4.6993 4.6993 5.9245 Å, 90.00 90.00 90.00°
Element x y z (fractional)
K1 0.0000 0.0000 0.2690
Co1 0.5000 0.5000 0.5000
Y1 0.5000 0.5000 0.0000
K2 0.0000 0.0000 0.7310

**Crystal system**: tetragonal
**DOS(E_F)**: 1.6566 states/eV/atom
**Size of the total moment**: 0.125 μB per atom

Arrangement ii

Compound: K2YCo
Source: the Alexandria database
Functional: PBEsol
Structure: relaxed

Cell: 5.3882 5.3882 5.3882 Å, 60.00 60.00 60.00°
Element x y z (fractional)
Co1 0.2500 0.2500 0.2500
K1 0.0000 0.0000 0.0000
K2 0.7500 0.7500 0.7500
Y1 0.5000 0.5000 0.5000

**Crystal system**: cubic
**DOS(E_F)**: 1.1196 states/eV/atom
**Size of the total moment**: 0.018 μB per atom

Arrangement iii

Compound: K2YCo
Source: the Alexandria database
Functional: PBEsol
Structure: relaxed

Cell: 3.2401 3.2401 12.0282 Å, 90.00 90.00 90.00°
Element x y z (fractional)
Co1 0.5000 0.5000 0.5000
Y1 0.5000 0.5000 0.0000
K1 0.0000 0.0000 0.6998
K2 0.0000 0.0000 0.3002

**Crystal system**: tetragonal
**DOS(E_F)**: 1.4644 states/eV/atom
**Size of the total moment**: 0.437 μB per atom

Which structure is most stable, and how do the rest compare? From most to least stable: arrangement ii, arrangement iii, arrangement i.

Arrangement i

Compound: LiLaCo
Source: the Alexandria database
Functional: PBEsol
Structure: relaxed

Cell: 4.2995 4.2995 4.2995 Å, 60.00 60.00 60.00°
Element x y z (fractional)
La1 0.5000 0.5000 0.5000
Co1 0.0000 0.0000 0.0000
Li1 0.2500 0.2500 0.2500

**Crystal system**: cubic
**DOS(E_F)**: 0.4858 states/eV/atom
**Size of the total moment**: 0.000 μB per atom

Arrangement ii

Compound: LiLaCo
Source: the Alexandria database
Functional: PBEsol
Structure: relaxed

Cell: 3.4726 3.4726 5.2673 Å, 109.25 109.25 90.00°
Element x y z (fractional)
La1 0.3585 0.3585 0.7169
Co1 0.9928 0.9928 0.9856
Li1 0.6487 0.6487 0.2974

**Crystal system**: tetragonal
**DOS(E_F)**: 1.0708 states/eV/atom
**Size of the total moment**: 0.000 μB per atom

Arrangement iii

Compound: LiLaCo
Source: the Alexandria database
Functional: PBEsol
Structure: relaxed

Cell: 4.4573 4.4573 4.4573 Å, 60.00 60.00 60.00°
Element x y z (fractional)
Co1 0.5000 0.5000 0.5000
La1 0.2500 0.2500 0.2500
Li1 0.0000 0.0000 0.0000

**Crystal system**: cubic
**DOS(E_F)**: 1.1100 states/eV/atom
**Size of the total moment**: 0.000 μB per atom

Which structure is most stable, and how do the rest compare? From most to least stable: arrangement ii, arrangement i, arrangement iii.

Arrangement i

Compound: La2MnCo
Source: the Alexandria database
Functional: PBEsol
Structure: relaxed

Cell: 4.8267 4.8267 4.8267 Å, 60.00 60.00 60.00°
Element x y z (fractional)
La1 0.2500 0.2500 0.2500
La2 0.0000 0.0000 0.0000
Co1 0.5000 0.5000 0.5000
Mn1 0.7500 0.7500 0.7500

**Crystal system**: cubic
**DOS(E_F)**: 1.3789 states/eV/atom
**Size of the total moment**: 1.100 μB per atom

Arrangement ii

Compound: La2MnCo
Source: the Alexandria database
Functional: PBEsol
Structure: relaxed

Cell: 3.7061 3.7061 8.2218 Å, 76.97 76.97 60.00°
Element x y z (fractional)
La1 0.2630 0.2630 0.2109
Mn1 0.5000 0.5000 0.5000
La2 0.7370 0.7370 0.7891
Co1 0.0000 0.0000 0.0000

**Crystal system**: trigonal
**DOS(E_F)**: 0.8073 states/eV/atom
**Size of the total moment**: 0.904 μB per atom

Which structure is most stable, and how do the rest compare? From most to least stable: arrangement i, arrangement ii.

Arrangement i

Compound: LaCoOs2
Source: the Alexandria database
Functional: PBEsol
Structure: relaxed

Cell: 2.8883 4.8762 5.5444 Å, 116.09 105.10 90.00°
Element x y z (fractional)
Os1 0.0279 0.0279 0.0559
La1 0.2448 0.7448 0.4896
Co1 0.4718 0.4718 0.9436
Os2 0.7554 0.2554 0.5109

**Crystal system**: orthorhombic
**DOS(E_F)**: 1.2439 states/eV/atom
**Size of the total moment**: 0.339 μB per atom

Arrangement ii

Compound: LaCoOs2
Source: the Alexandria database
Functional: PBEsol
Structure: relaxed

Cell: 2.8451 4.3404 5.5750 Å, 90.00 101.58 90.00°
Element x y z (fractional)
Co1 0.5000 0.5000 0.0000
La1 0.0000 0.5000 0.5000
Os1 0.6804 0.0000 0.8049
Os2 0.3196 0.0000 0.1951

**Crystal system**: monoclinic
**DOS(E_F)**: 1.4729 states/eV/atom
**Size of the total moment**: 0.469 μB per atom

Which structure is most stable, and how do the rest compare? From most to least stable: arrangement ii, arrangement i.

Arrangement i

Compound: LaCo2Re
Source: the Alexandria database
Functional: PBEsol
Structure: relaxed

Cell: 2.7816 4.6471 4.6471 Å, 90.00 90.00 90.00°
Element x y z (fractional)
Co1 0.0000 0.5000 0.0000
Re1 0.5000 0.0000 0.0000
La1 0.5000 0.5000 0.5000
Co2 0.0000 0.0000 0.5000

**Crystal system**: tetragonal
**DOS(E_F)**: 1.2984 states/eV/atom
**Size of the total moment**: 0.000 μB per atom

Arrangement ii

Compound: LaCo2Re
Source: the Alexandria database
Functional: PBEsol
Structure: relaxed

Cell: 2.9596 2.9596 7.1773 Å, 90.00 90.00 90.00°
Element x y z (fractional)
Co1 0.0000 0.0000 0.3117
Co2 0.0000 0.0000 0.6883
La1 0.5000 0.5000 0.0000
Re1 0.5000 0.5000 0.5000

**Crystal system**: tetragonal
**DOS(E_F)**: 0.9162 states/eV/atom
**Size of the total moment**: 0.464 μB per atom

Which structure is most stable, and how do the rest compare? From most to least stable: arrangement ii, arrangement i.

Arrangement i

Compound: LaCoSb2
Source: the Alexandria database
Functional: PBEsol
Structure: relaxed

Cell: 3.3134 3.9907 7.4816 Å, 105.47 102.79 90.00°
Element x y z (fractional)
Sb1 0.9829 0.9829 0.9658
Sb2 0.1732 0.6732 0.3464
La1 0.8063 0.3063 0.6126
Co1 0.5376 0.5376 0.0751

**Crystal system**: orthorhombic
**DOS(E_F)**: 0.4273 states/eV/atom
**Size of the total moment**: 0.000 μB per atom

Arrangement ii

Compound: LaCoSb2
Source: the Alexandria database
Functional: PBEsol
Structure: relaxed

Cell: 4.4017 4.4017 5.7845 Å, 112.36 112.36 90.00°
Element x y z (fractional)
Sb1 0.2500 0.7500 0.5000
Sb2 0.7500 0.2500 0.5000
La1 0.0000 0.0000 0.0000
Co1 0.5000 0.5000 0.0000

**Crystal system**: tetragonal
**DOS(E_F)**: 1.3729 states/eV/atom
**Size of the total moment**: 0.543 μB per atom

Which structure is most stable, and how do the rest compare? From most to least stable: arrangement i, arrangement ii.